! Mn5CoO12 | the Alexandria database | PBE+U | relaxed; values from VASP
&SYSTEM
  ibrav = 0, nat = 18, ntyp = 3
/
ATOMIC_SPECIES
Mn 54.94 Mn.upf
Co 58.93 Co.upf
O 16.00 O.upf
CELL_PARAMETERS angstrom
2.523 -4.374 0.000
2.523 4.374 0.000
-0.007 0.000 10.122
ATOMIC_POSITIONS crystal
Mn 0.000 0.000 0.000
Mn 0.167 0.833 0.500
Mn 0.333 0.667 0.000
Mn 0.667 0.333 0.000
Mn 0.833 0.167 0.500
Co 0.500 0.500 0.500
O 0.000 0.333 0.905
O 0.000 0.667 0.095
O 0.172 0.172 0.594
O 0.172 0.500 0.406
O 0.333 0.000 0.905
O 0.333 0.333 0.095
O 0.500 0.172 0.406
O 0.500 0.828 0.594
O 0.667 0.000 0.095
O 0.667 0.667 0.905
O 0.828 0.500 0.594
O 0.828 0.828 0.406
! total DFT energy (no corrections) = -0.5049 Ry/atom
! magnetic moment = 0.888 μB per atom